(1)
A relaxed LiInSn crystal. Source: the Alexandria database, functional PBE.

## Properties
For the total energy, the calculation gives -3.040 eV per atom. The value obtained for the density of states at the Fermi level is 1.3 states/eV per cell. The crystal system is tetragonal. As for the space group: I4mm.

abc: 5.429 5.429 5.429
angles: 137.87 137.87 61.10
Fractional coordinates of all 3 atoms:
Li 0.000 0.000 0.000
In 0.671 0.671 0.000
Sn 0.336 0.336 0.000

(2)
A relaxed SrMnCr crystal. Source: the Alexandria database, functional PBE.

## Properties
For the total energy, the calculation gives -5.227 eV per atom. The value obtained for the density of states at the Fermi level is 3.8 states/eV per cell. The crystal system is cubic. As for the space group: F-43m.

abc: 5.236 5.236 5.236
angles: 60.00 60.00 60.00
Fractional coordinates of all 3 atoms:
Sr 0.000 0.000 0.000
Mn 0.250 0.250 0.250
Cr 0.750 0.750 0.750

(3)
A relaxed HoScNb4 crystal. Source: the Alexandria database, functional PBE.

## Properties
For the total energy, the calculation gives -8.374 eV per atom. The value obtained for the density of states at the Fermi level is 12.4 states/eV per cell. The crystal system is cubic. As for the space group: F-43m.

abc: 5.655 5.655 5.655
angles: 60.00 60.00 60.00
Fractional coordinates of all 6 atoms:
Ho 0.000 0.000 0.000
Sc 0.250 0.250 0.250
Nb 0.124 0.625 0.625
Nb 0.625 0.124 0.625
Nb 0.625 0.625 0.124
Nb 0.625 0.625 0.625